Material: TaSiHg2
Method: DFT, GGA-PBE
State: optimized geometry

a b c (Å): 5.237 5.237 2.918
angles (deg): 90.00 90.00 90.00
Atoms (fractional coordinates):
Hg: 0.000 0.000 0.000
Hg: 0.500 0.500 0.000
Si: 0.500 0.000 0.500
Ta: 0.000 0.500 0.500

Values from the calculation:
magnetization = 0.000 μB per atom
VASP energy = -3.81 eV per atom

Material: Sc2ZnS
Method: DFT, GGA-PBE
State: optimized geometry

a b c (Å): 3.895 3.656 10.650
angles (deg): 99.88 90.00 90.00
Atoms (fractional coordinates):
Sc: 0.750 0.684 0.369
Sc: 0.250 0.316 0.631
Sc: 0.750 0.927 0.854
Sc: 0.250 0.073 0.146
Zn: 0.250 0.460 0.920
Zn: 0.750 0.540 0.080
S: 0.250 0.193 0.386
S: 0.750 0.807 0.614

Values from the calculation:
magnetization = 0.000 μB per atom
VASP energy = -5.62 eV per atom

Material: YFeIr4
Method: DFT, GGA-PBE
State: optimized geometry

a b c (Å): 5.253 5.253 5.253
angles (deg): 60.00 60.00 60.00
Atoms (fractional coordinates):
Y: 0.750 0.750 0.750
Fe: 0.000 0.000 0.000
Ir: 0.876 0.375 0.375
Ir: 0.375 0.375 0.876
Ir: 0.375 0.876 0.375
Ir: 0.375 0.375 0.375

Values from the calculation:
magnetization = 0.738 μB per atom
ΔE_f = -18.7 kJ/mol of atoms

Material: FeCoNi4
Method: DFT, GGA-PBE
State: optimized geometry

a b c (Å): 4.608 4.608 4.608
angles (deg): 60.00 60.00 60.00
Atoms (fractional coordinates):
Fe: 0.000 0.000 0.000
Co: 0.750 0.750 0.750
Ni: 0.874 0.375 0.375
Ni: 0.375 0.375 0.874
Ni: 0.375 0.874 0.375
Ni: 0.375 0.375 0.375

Values from the calculation:
magnetization = 1.076 μB per atom
ΔE_f = 15.3 kJ/mol of atoms

Material: BaCoRh
Method: DFT, GGA-PBE
State: optimized geometry

a b c (Å): 4.693 4.693 4.693
angles (deg): 60.00 60.00 60.00
Atoms (fractional coordinates):
Ba: 0.750 0.750 0.750
Co: 0.000 0.000 0.000
Rh: 0.500 0.500 0.500

Values from the calculation:
magnetization = 0.522 μB per atom
ΔE_f = 125.8 kJ/mol of atoms

Material: Er3CdAg
Method: DFT, GGA-PBE
State: optimized geometry

a b c (Å): 3.607 9.564 9.565
angles (deg): 61.38 90.00 90.00
Atoms (fractional coordinates):
Er: 0.863 0.388 0.837
Er: 0.863 0.000 0.655
Er: 0.863 0.603 0.052
Er: 0.364 0.037 0.090
Er: 0.863 0.785 0.441
Er: 0.363 0.352 0.404
Cd: 0.363 0.694 0.746
Cd: 0.864 0.194 0.247
Ag: 0.363 0.695 0.246
Ag: 0.363 0.193 0.747

Values from the calculation:
magnetization = 0.000 μB per atom
ΔE_f = -0.2 kJ/mol of atoms

Material: SbAuF2
Method: DFT, GGA-PBE
State: optimized geometry

a b c (Å): 9.273 9.273 9.273
angles (deg): 19.11 19.11 19.11
Atoms (fractional coordinates):
Sb: 0.000 0.000 0.000
Au: 0.500 0.500 0.500
F: 0.926 0.926 0.926
F: 0.074 0.074 0.074

Values from the calculation:
magnetization = 0.000 μB per atom
VASP energy = -3.72 eV per atom

Material: GdUZn4
Method: DFT, GGA-PBE
State: optimized geometry

a b c (Å): 5.451 5.451 5.451
angles (deg): 60.00 60.00 60.00
Atoms (fractional coordinates):
Zn: 0.625 0.625 0.125
Zn: 0.625 0.125 0.625
Zn: 0.625 0.625 0.625
Zn: 0.125 0.625 0.625
Gd: 0.250 0.250 0.250
U: 0.000 0.000 0.000

Values from the calculation:
magnetization = 0.768 μB per atom
ΔE_f = -5.6 kJ/mol of atoms

magnetization of number 5 (BaCoRh)?
0.522 μB per atom